The following is a PBE-GGA calculation of an optimized crystal structure of Hg2IrCl, from Alexandria.

Calculated values
The calculation puts the total magnetic moment at 0.00 Bohr magnetons per cell. The density of states at the Fermi level comes out at 2.35 states/eV per cell. For the distance to the lowest polymorph of the same formula, the calculation gives 283 meV per atom. The formation energy (no corrections) is 0.424 eV/atom.

Unit cell a=6.0426 b=8.0133 c=3.1985 alpha=90.00 beta=90.00 gamma=90.00
Space group Cmmm (No. 65)
Asymmetric unit:
Hg 0.2500 0.2500 0.0000 [4 per cell]
Ir 0.0000 0.0000 0.5000 [2 per cell]
Cl 0.0000 0.5000 0.5000 [2 per cell]